(1)
A plane-wave DFT calculation with SCAN was carried out for a crystal of Cd2Cu relaxed with PBEsol.

- total magnetic moment (μB/atom) = 0.000
- energy of formation from the pure elements (eV/atom) = 0.099

Unit cell a=7.015 b=7.015 c=7.015 alpha=24.43 beta=24.43 gamma=24.43
Fractional positions:
Cd: 0.230 0.230 0.230
Cd: 0.770 0.770 0.770
Cu: 0.000 0.000 0.000



(2)
A plane-wave DFT calculation with SCAN was carried out for a crystal of CaLa2Ag relaxed with PBEsol.

- excess energy over the best structure of this formula in the dataset (meV/atom) = 191
- total magnetic moment (μB/atom) = 0.000
- energy of formation from the pure elements (eV/atom) = 0.084

Unit cell a=5.528 b=5.528 c=5.528 alpha=60.00 beta=60.00 gamma=60.00
Fractional positions:
Ca: 0.000 0.000 0.000
La: 0.250 0.250 0.250
La: 0.750 0.750 0.750
Ag: 0.500 0.500 0.500